The following is a PBE calculation of a relaxed LaTaW2S crystal, from the Alexandria database.

a = 4.615 Å, b = 4.718 Å, c = 4.615 Å
α = 90.00°, β = 90.00°, γ = 90.00°
Fractional positions:
La1 0.500 0.500 0.500
Ta1 0.000 0.500 0.000
W1 0.000 0.000 0.500
W2 0.500 0.000 0.000
S1 0.000 0.000 0.000

The total energy comes out at -44.1 eV for the cell shown. The volume comes out at 100.5 Å³/f.u. As for the total magnetization: 0.00 μB/f.u.

***

The following is a PBE calculation of a relaxed Na2SrGaSe4 crystal, from the Alexandria database.

a = 7.629 Å, b = 6.588 Å, c = 6.588 Å
α = 70.08°, β = 54.62°, γ = 54.62°
Fractional positions:
Sr1 0.000 0.000 0.000
Na1 0.500 0.750 0.250
Na2 0.500 0.250 0.750
Se1 0.618 0.520 0.862
Se2 0.000 0.862 0.520
Se3 0.382 0.138 0.480
Se4 0.000 0.480 0.138
Ga1 0.000 0.500 0.500

The total energy comes out at -29.3 eV for the cell shown. The volume comes out at 220.1 Å³/f.u. As for the total magnetization: 0.00 μB/f.u.

***

The following is a PBE calculation of a relaxed Ba2Sr6PdAu crystal, from the Alexandria database.

a = 8.789 Å, b = 8.789 Å, c = 8.768 Å
α = 120.04°, β = 120.04°, γ = 89.95°
Fractional positions:
Au1 0.000 0.001 0.000
Sr1 0.746 0.747 0.493
Sr2 0.253 0.254 0.000
Sr3 0.253 0.747 0.000
Sr4 0.746 0.254 0.000
Sr5 0.746 0.747 0.999
Sr6 0.254 0.254 0.507
Ba1 0.250 0.750 0.499
Ba2 0.750 0.250 0.499
Pd1 0.500 0.501 0.000

For the formation energy, the calculation gives -307 kJ/mol of formula units. The total energy comes out at -25.6 eV for the cell shown. The volume comes out at 478.5 Å³/f.u. As for the total magnetization: 0.00 μB/f.u.